The following is a DFT calculation (PBE) of a geometry-optimized PrPuSi3 structure.

Cell: 3.9912 4.2404 12.6504 Å, 99.65 90.00 90.00°
Sites, in units of the cell vectors:
Pr  0.2500  0.0706  0.1412
Pr  0.7500  0.9294  0.8588
Pu  0.2500  0.7945  0.5890
Pu  0.7500  0.2055  0.4110
Si  0.2500  0.3794  0.7587
Si  0.7500  0.6206  0.2413
Si  0.2500  0.4749  0.9498
Si  0.7500  0.5251  0.0502
Si  0.7500  0.3253  0.6506
Si  0.2500  0.6747  0.3494

## Properties
Formation energy without anion corrections (meV/atom): -553
Calculated volume (A^3/atom): 21.1
VASP energy (eV/atom): -7.629
Magnetization (μB per cell): 11.809

The following is a DFT calculation (PBE) of a geometry-optimized TbDy3Cd4 structure.

Cell: 5.2810 7.5482 10.5639 Å, 90.00 90.00 90.00°
Sites, in units of the cell vectors:
Cd  0.5000  0.7510  0.0000
Cd  0.5000  0.7510  0.5000
Cd  0.5000  0.2490  0.0000
Cd  0.5000  0.2490  0.5000
Cd  0.0006  0.7510  0.7500
Cd  0.9994  0.7510  0.2500
Cd  0.9994  0.2490  0.2500
Cd  0.0006  0.2490  0.7500
Tb  0.0000  0.5000  0.0000
Tb  0.0000  0.5000  0.5000
Dy  0.0000  0.0000  0.0000
Dy  0.0000  0.0000  0.5000
Dy  0.5005  0.0000  0.7500
Dy  0.4995  0.0000  0.2500
Dy  0.5005  0.5000  0.7500
Dy  0.4995  0.5000  0.2500

## Properties
Calculated volume (A^3/atom): 26.3
VASP energy (eV/atom): -3.082
Magnetization (μB per cell): 0.016
Energy of formation (meV per atom): -320

The following is a DFT calculation (PBE) of a geometry-optimized Al2PPt structure.

Cell: 5.7932 5.7932 6.5235 Å, 63.64 63.64 90.00°
Sites, in units of the cell vectors:
P  0.5000  0.5000  0.0000
P  0.2500  0.7500  0.5000
Al  0.6159  0.1250  0.2500
Al  0.1341  0.6250  0.2500
Al  0.3750  0.3841  0.7500
Al  0.8750  0.8659  0.7500
Pt  0.0000  0.0000  0.0000
Pt  0.7500  0.2500  0.5000

## Properties
Calculated volume (A^3/atom): 21.3
VASP energy (eV/atom): -5.080
Magnetization (μB per cell): 0.000
Energy of formation (meV per atom): -346

The following is a DFT calculation (PBE) of a geometry-optimized BaLiAlAg2 structure.

Cell: 5.0899 5.0899 5.1400 Å, 90.00 90.00 90.00°
Sites, in units of the cell vectors:
Li  0.0000  0.0000  0.5000
Ba  0.5000  0.5000  0.5000
Ag  0.0000  0.5000  0.0000
Ag  0.5000  0.0000  0.0000
Al  0.0000  0.0000  0.0000

## Properties
Calculated volume (A^3/atom): 26.6
VASP energy (eV/atom): -2.752
Magnetization (μB per cell): 0.000
Energy of formation (meV per atom): -96

The following is a DFT calculation (PBE) of a geometry-optimized CsRb10Na2 structure.

Cell: 11.9650 11.9650 15.4576 Å, 90.00 90.00 97.45°
Sites, in units of the cell vectors:
Cs  0.8830  0.1170  0.7500
Cs  0.1170  0.8830  0.2500
Rb  0.4254  0.1181  0.7500
Rb  0.5746  0.8819  0.2500
Rb  0.8819  0.5746  0.7500
Rb  0.1181  0.4254  0.2500
Rb  0.5353  0.7618  0.7500
Rb  0.4647  0.2382  0.2500
Rb  0.2382  0.4647  0.7500
Rb  0.7618  0.5353  0.2500
Rb  0.8375  0.1625  0.4071
Rb  0.1625  0.8375  0.9071
Rb  0.8375  0.1625  0.0929
Rb  0.1625  0.8375  0.5929
Rb  0.6192  0.3808  0.9393
Rb  0.3808  0.6192  0.4393
Rb  0.6192  0.3808  0.5607
Rb  0.3808  0.6192  0.0607
Rb  0.7842  0.7842  0.0000
Rb  0.2158  0.2158  0.5000
Rb  0.2158  0.2158  0.0000
Rb  0.7842  0.7842  0.5000
Na  0.5000  0.0000  0.0000
Na  0.5000  0.0000  0.5000
Na  0.0000  0.5000  0.5000
Na  0.0000  0.5000  0.0000

## Properties
Calculated volume (A^3/atom): 84.4
VASP energy (eV/atom): -0.987
Magnetization (μB per cell): 0.000
Energy of formation (meV per atom): 26

The following is a DFT calculation (PBE) of a geometry-optimized CeMgInPb structure.

Cell: 5.3354 5.3354 5.3354 Å, 60.00 60.00 60.00°
Sites, in units of the cell vectors:
Pb  0.2500  0.2500  0.2500
Mg  0.0000  0.0000  0.0000
Ce  0.5000  0.5000  0.5000
In  0.7500  0.7500  0.7500

## Properties
Calculated volume (A^3/atom): 26.8
VASP energy (eV/atom): -3.743
Magnetization (μB per cell): 0.620
E above lowest polymorph (eV per formula unit): 0.39
Energy of formation (meV per atom): -249

The following is a DFT calculation (PBE) of a geometry-optimized CuSiTe structure.

Cell: 6.4328 6.4328 6.4328 Å, 146.22 154.11 43.05°
Sites, in units of the cell vectors:
Cu  0.1046  0.1046  0.0000
Si  0.5579  0.5579  0.0000
Te  0.3375  0.3375  0.0000

## Properties
Formation energy without anion corrections (meV/atom): 184
Calculated volume (A^3/atom): 21.5
VASP energy (eV/atom): -4.036
Magnetization (μB per cell): 0.000
E above lowest polymorph (eV per formula unit): 0.00

The following is a DFT calculation (PBE) of a geometry-optimized La4SiSb structure.

Cell: 6.2354 8.7301 8.4727 Å, 113.50 101.82 108.45°
Sites, in units of the cell vectors:
La  0.0618  0.2229  0.8452
La  0.7782  0.7134  0.6371
La  0.2834  0.6223  0.8452
La  0.3589  0.9238  0.6371
La  0.6411  0.0762  0.3629
La  0.7166  0.3777  0.1548
La  0.2218  0.2866  0.3629
La  0.9382  0.7771  0.1548
Si  0.2507  0.0007  0.0015
Si  0.7493  0.9993  0.9985
Sb  0.3722  0.6222  0.2445
Sb  0.6278  0.3778  0.7555

## Properties
Formation energy without anion corrections (meV/atom): -658
Calculated volume (A^3/atom): 30.9
VASP energy (eV/atom): -5.534
Magnetization (μB per cell): 0.000
E above lowest polymorph (eV per formula unit): 0.00